1.
NdBiRu2O7 | GGA-PBEsol | optimized geometry

Lattice parameters (Å, degrees): 7.2306 7.2944 10.2636 90.00 90.00 90.00
Space group Imma (No. 74)
Inequivalent atoms, fractional coordinates:
Nd  0.0000  0.0000  0.0000 [4 per cell]
Bi  0.2500  0.2500  0.2500 [4 per cell]
Ru  0.0000  0.0000  0.5000 [4 per cell]
Ru  0.2500  0.2500  0.7500 [4 per cell]
O  0.0000  0.2500  0.1249 [4 per cell]
O  0.0000  0.2500  0.4242 [4 per cell]
O  0.0000  0.2500  0.8309 [4 per cell]
O  0.1997  0.0449  0.6272 [16 per cell]

Results
For the raw total energy, the calculation gives -338.672 eV for the cell shown.

***

2.
Mo2RuRhC | GGA-PBEsol | optimized geometry

Lattice parameters (Å, degrees): 4.0650 4.0650 3.9572 90.00 90.00 90.00
Space group P4/mmm (No. 123)
Inequivalent atoms, fractional coordinates:
Mo  0.0000  0.5000  0.0000 [2 per cell]
Ru  0.0000  0.0000  0.5000 [1 per cell]
Rh  0.5000  0.5000  0.5000 [1 per cell]
C  0.0000  0.0000  0.0000 [1 per cell]

Results
The calculation puts the energy of formation from the pure elements at 0.077 eV per atom.

***

3.
YIn2As | GGA-PBEsol | optimized geometry

Lattice parameters (Å, degrees): 3.7931 3.7931 24.5837 90.00 90.00 120.00
Space group R-3m (No. 166, hexagonal axes)
Inequivalent atoms, fractional coordinates:
Y  0.0000  0.0000  0.0000 [3 per cell]
In  0.0000  0.0000  0.2369 [6 per cell]
As  0.0000  0.0000  0.5000 [3 per cell]

Results
The calculation puts the energy of formation from the pure elements at -0.133 eV per atom.

***

N(E_F) / states/eV/f.u.: 5.0, 5.3, 3.8
Magnetic moment / μB per cell: 0.5, 0.0, 0.0